Computed, not measured: RbY3Cl after structural relaxation at the PBEsol level of DFT.

For the magnetic moment, the calculation gives 0.00 Bohr magnetons per cell. The calculation puts the uncorrected formation energy at 1.282 eV per atom.

It has space group Pm-3m (No. 221), with a = 5.5270 Å, b = 5.5270 Å, c = 5.5270 Å, α = 90.00°, β = 90.00° and γ = 90.00°. Symmetry generates all atoms from Rb at (0.0000, 0.0000, 0.0000), Y at (0.0000, 0.0000, 0.5000) and Cl at (0.5000, 0.5000, 0.5000).



Computed, not measured: Al2Rh after structural relaxation at the PBEsol level of DFT.

For the magnetic moment, the calculation gives 0.00 Bohr magnetons per cell. The calculated formation energy comes out at -0.787 eV per atom.

It has space group Fd-3m (No. 227, origin choice 2), with a = 11.2245 Å, b = 11.2245 Å, c = 11.2245 Å, α = 90.00°, β = 90.00° and γ = 90.00°. Symmetry generates all atoms from Al at (0.0000, 0.0000, 0.0000), Al at (0.0743, 0.3750, 0.8750) and Rh at (0.0281, 0.0281, 0.2219).